Entry 1:
In4Sn2Bi5: relaxed, PBE.

The structure in POSCAR format:
```
In4Sn2Bi5
1.0
4.7218 -4.3253 0.0000
4.7218 4.3253 0.0000
-3.2781 0.0000 8.6198
In Sn Bi
4 2 5
Cartesian
-0.0360 0.0000 3.7090
1.5501 0.0000 0.8533
4.6154 0.0000 7.7665
6.2014 0.0000 4.9108
-0.3631 0.0000 6.6866
6.5286 0.0000 1.9332
4.0448 1.9591 1.7629
2.1207 1.9591 6.8569
3.0827 0.0000 4.3099
4.0448 -1.9591 1.7629
2.1207 -1.9591 6.8569
```

calculated formation energy: 63.2 meV/atom
total energy: -3.424 eV per atom
space group: C2/m
mass density: 8.2 g cm⁻³

=====

Entry 2:
NdTmAgSb: relaxed, PBE.

The structure in POSCAR format:
```
NdTmAgSb
1.0
7.4625 0.0000 0.0000
0.0000 7.4625 0.0000
0.0000 0.0000 7.4625
Nd Tm Ag Sb
4 4 4 4
Cartesian
0.0000 0.0000 0.0000
0.0000 3.7313 3.7313
3.7313 0.0000 3.7313
3.7313 3.7313 0.0000
0.0000 0.0000 3.7313
0.0000 3.7313 0.0000
3.7313 0.0000 0.0000
3.7313 3.7313 3.7313
1.8656 1.8656 1.8656
1.8656 5.5969 5.5969
5.5969 1.8656 5.5969
5.5969 5.5969 1.8656
1.8656 1.8656 5.5969
1.8656 5.5969 1.8656
5.5969 1.8656 1.8656
5.5969 5.5969 5.5969
```

total energy: -4.581 eV per atom
raw formation energy: -0.53 eV per atom
space group: F-43m
mass density: 8.7 g cm⁻³

=====

Entry 3:
CrRe2Cl: relaxed, PBE.

The structure in POSCAR format:
```
CrRe2Cl
1.0
2.8169 0.0000 0.0000
0.0000 4.5790 0.0000
0.0000 0.0000 4.5809
Cr Re Cl
1 2 1
Cartesian
0.0000 0.0000 0.0000
0.0000 2.2895 2.2905
1.4085 2.2895 0.0000
1.4085 0.0000 2.2905
```

total energy: -8.159 eV per atom
raw formation energy: 0.93 eV per atom
offset from the most stable computed form: 667.7 meV per atom
space group: Pmmm
mass density: 12.9 g cm⁻³

=====

Entry 4:
TmHfZr2: relaxed, PBE.

The structure in POSCAR format:
```
TmHfZr2
1.0
7.2670 0.0000 0.0000
0.0000 7.2670 0.0000
0.0000 0.0000 7.2670
Tm Hf Zr
4 4 8
Cartesian
0.0000 0.0000 0.0000
0.0000 3.6335 3.6335
3.6335 0.0000 3.6335
3.6335 3.6335 0.0000
0.0000 0.0000 3.6335
0.0000 3.6335 0.0000
3.6335 0.0000 0.0000
3.6335 3.6335 3.6335
1.8167 1.8167 1.8167
1.8167 1.8167 5.4502
1.8167 5.4502 1.8167
1.8167 5.4502 5.4502
5.4502 1.8167 1.8167
5.4502 1.8167 5.4502
5.4502 5.4502 1.8167
5.4502 5.4502 5.4502
```

calculated formation energy: 199.6 meV/atom
total energy: -7.681 eV per atom
offset from the most stable computed form: 131.7 meV per atom
space group: Fm-3m
mass density: 9.2 g cm⁻³

=====

Entry 5:
ZnSi2Rh: relaxed, PBE.

The structure in POSCAR format:
```
ZnSi2Rh
1.0
5.9339 0.0000 0.0000
0.0000 5.9339 0.0000
0.0000 0.0000 9.0359
Zn Si Rh
4 8 4
Cartesian
0.0000 0.0000 0.0000
0.0000 2.9670 2.2590
2.9670 0.0000 6.7769
2.9670 2.9670 4.5180
1.3395 1.4835 5.6475
1.4835 4.3065 7.9064
1.4835 4.5944 3.3885
1.6275 1.4835 1.1295
4.3065 4.4504 1.1295
4.4504 1.3395 3.3885
4.4504 1.6275 7.9064
4.5944 4.4504 5.6475
0.0000 0.0000 4.5180
0.0000 2.9670 6.7769
2.9670 0.0000 2.2590
2.9670 2.9670 0.0000
```

total energy: -4.669 eV per atom
raw formation energy: 0.20 eV per atom
space group: I-42d
mass density: 4.7 g cm⁻³

=====

Entry 6:
NdY2Cd3: relaxed, PBE.

The structure in POSCAR format:
```
NdY2Cd3
1.0
2.6613 -8.0000 0.0000
2.6613 8.0000 0.0000
0.0000 0.0000 7.6618
Nd Y Cd
2 4 6
Cartesian
2.6613 5.3460 0.0000
2.6613 -5.3460 0.0000
2.6613 5.3020 3.8309
2.6613 0.0000 0.0000
2.6613 0.0000 3.8309
2.6613 -5.3020 3.8309
0.0000 0.0000 1.9880
0.0000 0.0000 5.6738
2.6613 2.6237 1.9907
2.6613 2.6237 5.6711
2.6613 -2.6237 1.9907
2.6613 -2.6237 5.6711
```

calculated formation energy: -336.8 meV/atom
total energy: -3.744 eV per atom
space group: Cmmm
mass density: 6.7 g cm⁻³

=====

Entry 7:
MgZr2H: relaxed, PBE.

The structure in POSCAR format:
```
MgZr2H
1.0
3.1873 0.0000 0.0000
-1.5937 2.7603 0.0000
0.0000 0.0000 24.0727
Mg Zr H
3 6 3
Cartesian
0.0000 0.0000 0.0000
0.0000 1.8402 16.0485
1.5937 0.9201 8.0242
0.0000 0.0000 5.3781
0.0000 0.0000 18.6946
0.0000 1.8402 10.6704
0.0000 1.8402 21.4266
1.5937 0.9201 2.6461
1.5937 0.9201 13.4024
0.0000 0.0000 12.0364
0.0000 1.8402 4.0121
1.5937 0.9201 20.0606
```

total energy: -5.605 eV per atom
offset from the most stable computed form: 0.0 meV per atom
space group: R-3m
mass density: 4.9 g cm⁻³

=====

Entry 8:
U3Cu4PbSe12: relaxed, PBE.

The structure in POSCAR format:
```
U3Cu4PbSe12
1.0
7.0916 4.0944 3.3187
-7.0916 4.0944 3.3187
0.0000 -8.1887 3.3187
U Cu Pb Se
3 4 1 12
Cartesian
-3.9778 -1.2990 3.3187
3.1139 -2.7954 3.3187
0.8639 4.0944 3.3187
-3.0094 -5.2125 4.9780
0.0000 0.0000 4.9780
-3.0094 5.2125 4.9780
6.0189 0.0000 4.9780
0.0000 0.0000 0.0000
-4.5172 -3.4382 4.8386
-5.7365 0.0000 4.9780
-0.7190 -5.6311 5.1174
-4.5172 3.4382 5.1174
-2.2776 0.0000 4.9780
2.8682 -4.9679 4.9780
1.1388 -1.9725 4.9780
1.1388 1.9725 4.9780
-0.7190 5.6311 4.8386
5.2362 -2.1929 4.8386
2.8682 4.9679 4.9780
5.2362 2.1928 5.1174
```

total energy: -5.309 eV per atom
raw formation energy: -0.52 eV per atom
space group: R32
mass density: 6.1 g cm⁻³

=====

Entry 9:
RbTlGaAu: relaxed, PBE.

The structure in POSCAR format:
```
RbTlGaAu
1.0
7.8316 0.0000 0.0000
0.0000 4.5220 0.0000
-0.0402 0.0000 8.0946
Rb Tl Ga Au
2 2 2 2
Cartesian
0.0000 0.0000 0.0000
3.9158 2.2610 0.0000
3.8792 2.2610 3.6753
7.7950 0.0000 3.6753
2.5737 0.0000 5.4789
6.4895 2.2610 5.4789
1.2685 2.2610 5.5191
5.1843 0.0000 5.5191
```

calculated formation energy: -116.2 meV/atom
total energy: -2.526 eV per atom
space group: Cm
mass density: 6.4 g cm⁻³

=====

Entry 10:
Be4CrRh: relaxed, PBE.

The structure in POSCAR format:
```
Be4CrRh
1.0
0.0000 3.0608 3.0608
3.0608 0.0000 3.0608
3.0608 3.0608 0.0000
Be Cr Rh
4 1 1
Cartesian
0.7654 0.7654 0.7654
2.2954 2.2954 0.7654
2.2954 0.7654 2.2954
0.7654 2.2954 2.2954
3.0608 3.0608 3.0608
4.5912 4.5912 4.5912
```

calculated formation energy: -374.2 meV/atom
total energy: -5.687 eV per atom
space group: F-43m
mass density: 5.5 g cm⁻³

=====

Entry 11:
TlCoBi2Au: relaxed, PBE.

The structure in POSCAR format:
```
TlCoBi2Au
1.0
5.0106 0.0000 0.0000
0.0000 5.0106 0.0000
0.0000 0.0000 5.2107
Tl Co Bi Au
1 1 2 1
Cartesian
0.0000 0.0000 0.0000
2.5053 2.5053 2.6054
0.0000 2.5053 2.6054
2.5053 0.0000 2.6054
2.5053 2.5053 0.0000
```

calculated formation energy: 270.8 meV/atom
total energy: -3.831 eV per atom
space group: P4/mmm
mass density: 11.1 g cm⁻³

=====

Entry 12:
Y2InHg8: relaxed, PBE.

The structure in POSCAR format:
```
Y2InHg8
1.0
4.6700 0.0000 0.0000
0.0000 4.6700 0.0000
0.0000 0.0000 12.7763
Y In Hg
2 1 8
Cartesian
0.0000 0.0000 2.3279
0.0000 0.0000 10.4484
0.0000 0.0000 6.3881
0.0000 2.3350 0.0000
0.0000 2.3350 4.5226
0.0000 2.3350 8.2537
2.3350 0.0000 0.0000
2.3350 0.0000 4.5226
2.3350 0.0000 8.2537
2.3350 2.3350 2.2668
2.3350 2.3350 10.5095
```

calculated formation energy: -241.6 meV/atom
total energy: -1.885 eV per atom
offset from the most stable computed form: 0.0 meV per atom
space group: P4/mmm
mass density: 11.3 g cm⁻³

=====

Please write out number 12 again, unchanged.
Y2InHg8: relaxed, PBE.

The structure in POSCAR format:
```
Y2InHg8
1.0
4.6700 0.0000 0.0000
0.0000 4.6700 0.0000
0.0000 0.0000 12.7763
Y In Hg
2 1 8
Cartesian
0.0000 0.0000 2.3279
0.0000 0.0000 10.4484
0.0000 0.0000 6.3881
0.0000 2.3350 0.0000
0.0000 2.3350 4.5226
0.0000 2.3350 8.2537
2.3350 0.0000 0.0000
2.3350 0.0000 4.5226
2.3350 0.0000 8.2537
2.3350 2.3350 2.2668
2.3350 2.3350 10.5095
```

calculated formation energy: -241.6 meV/atom
total energy: -1.885 eV per atom
offset from the most stable computed form: 0.0 meV per atom
space group: P4/mmm
mass density: 11.3 g cm⁻³